No. 1
## K2MgTaP (GGA-PBE)

Data for a relaxed K2MgTaP crystal.

Values from the calculation:
* size of the total moment: 4.02 μB/f.u.
* ΔE_f: 1.27 eV/atom
* total energy: -14.7 eV per cell

The structure in POSCAR format:
```
K2MgTaP
1.0
-1.317 -6.483 0.763
4.214 -0.997 -1.201
1.902 0.364 6.371
P K Mg Ta
1 2 1 1
Cartesian
2.107 -0.499 -0.601
0.951 0.182 3.186
-0.658 -3.242 0.382
0.000 0.000 0.000
2.400 -3.558 2.967
```



No. 2
## TlReSb2 (GGA-PBE)

Data for a relaxed TlReSb2 crystal.

Values from the calculation:
* energy relative to the elements, uncorrected: 338 meV per atom
* size of the total moment: 0.00 μB/f.u.
* total energy: -21.7 eV per cell
* ΔE to the lowest computed polymorph: 119 meV/atom

The structure in POSCAR format:
```
TlReSb2
1.0
9.415 0.075 -0.015
8.172 4.675 0.015
-8.770 -2.460 2.381
Re Sb Tl
1 2 1
Cartesian
5.568 0.224 1.183
16.073 4.341 0.000
3.634 2.170 1.198
9.921 2.680 0.000
```



No. 3
## Sc2SnTe2 (GGA-PBE)

Data for a relaxed Sc2SnTe2 crystal.

Values from the calculation:
* energy relative to the elements, uncorrected: -605 meV per atom
* size of the total moment: 0.00 μB/f.u.
* total energy: -26.0 eV per cell
* ΔE to the lowest computed polymorph: 166 meV/atom

The structure in POSCAR format:
```
Sc2SnTe2
1.0
-4.959 1.329 1.801
-1.471 -5.234 -0.189
-1.721 -2.537 5.348
Sc Te Sn
2 2 1
Cartesian
-4.947 -1.580 3.978
-3.204 -4.862 2.982
-2.729 -2.143 2.284
-5.422 -4.299 4.675
0.000 0.000 0.000
```